VASP calculation (GGA+U) on a geometry-optimized MoPbO4 structure.

Summary:
The calculation puts the total magnetization at 0.0 μB/cell. As for the uncorrected energy: -159.17 eV/cell.

a b c (Å): 7.769 7.048 7.867
angles (deg): 90.00 90.00 90.00
Space group Cmcm (No. 63)
Asymmetric unit:
Mo 0.000 0.140 0.250 [4 per cell]
Pb 0.000 0.383 0.750 [4 per cell]
O 0.000 0.298 0.069 [8 per cell]
O 0.186 0.011 0.750 [8 per cell]